Entry 1:
# PBE-GGA ZrTcAg, relaxed
# - Total DFT energy (no corrections): -78.2 eV for the cell shown
# - Calculated volume: 21.41 A^3/atom
# - Calculated formation energy: 0.74 eV/atom
# - Energy above the most stable polymorph in this dataset: 715 meV per atom
data_ZrTcAg
_chemical_formula_sum 'Zr4 Tc4 Ag4'
_symmetry_space_group_name_H-M 'F -4 3 m'
_symmetry_Int_Tables_number 216
_symmetry_space_group_name_Hall 'F -4 2 3'
_cell_length_a 6.3569
_cell_length_b 6.3569
_cell_length_c 6.3569
_cell_angle_alpha 90.00
_cell_angle_beta 90.00
_cell_angle_gamma 90.00
loop_
_atom_site_label
_atom_site_type_symbol
_atom_site_fract_x
_atom_site_fract_y
_atom_site_fract_z
Zr1 Zr 0.0000 0.0000 0.0000
Tc1 Tc 0.2500 0.2500 0.7500
Ag1 Ag 0.0000 0.0000 0.5000

=====

Entry 2:
# PBE-GGA ZrTcAg2, relaxed
# - Total DFT energy (no corrections): -24.2 eV for the cell shown
# - Calculated volume: 18.17 A^3/atom
# - Calculated formation energy: 0.10 eV/atom
# - Energy above the most stable polymorph in this dataset: 0 meV per atom
data_ZrTcAg2
_chemical_formula_sum 'Zr1 Tc1 Ag2'
_symmetry_space_group_name_H-M 'P m m 2'
_symmetry_Int_Tables_number 25
_cell_length_a 3.4234
_cell_length_b 3.4429
_cell_length_c 6.1662
_cell_angle_alpha 90.00
_cell_angle_beta 90.00
_cell_angle_gamma 90.00
loop_
_symmetry_equiv_pos_as_xyz
'x,y,z'
'-x,-y,z'
'-x,y,z'
'x,-y,z'
loop_
_atom_site_label
_atom_site_type_symbol
_atom_site_fract_x
_atom_site_fract_y
_atom_site_fract_z
Zr1 Zr 0.0000 0.0000 0.0000
Tc1 Tc 0.5000 0.5000 0.2149
Ag1 Ag 0.0000 0.0000 0.4787
Ag2 Ag 0.5000 0.5000 0.7114

=====

Entry 3:
# PBE-GGA ZrTcAg2, relaxed
# - Total DFT energy (no corrections): -47.4 eV for the cell shown
# - Calculated volume: 17.85 A^3/atom
# - Calculated formation energy: 0.23 eV/atom
# - Energy above the most stable polymorph in this dataset: 124 meV per atom
data_ZrTcAg2
_chemical_formula_sum 'Zr2 Tc2 Ag4'
_symmetry_space_group_name_H-M 'I -4 m 2'
_symmetry_Int_Tables_number 119
_symmetry_space_group_name_Hall 'I -4 -2'
_cell_length_a 4.1667
_cell_length_b 4.1667
_cell_length_c 8.2243
_cell_angle_alpha 90.00
_cell_angle_beta 90.00
_cell_angle_gamma 90.00
loop_
_atom_site_label
_atom_site_type_symbol
_atom_site_fract_x
_atom_site_fract_y
_atom_site_fract_z
Zr1 Zr 0.0000 0.0000 0.0000
Tc1 Tc 0.0000 0.5000 0.2500
Ag1 Ag 0.0000 0.0000 0.5000
Ag2 Ag 0.0000 0.5000 0.7500

=====

Entry 4:
# PBE-GGA ZrTcAg2, relaxed
# - Total DFT energy (no corrections): -47.2 eV for the cell shown
# - Calculated volume: 17.80 A^3/atom
# - Calculated formation energy: 0.25 eV/atom
# - Energy above the most stable polymorph in this dataset: 150 meV per atom
data_ZrTcAg2
_chemical_formula_sum 'Zr2 Tc2 Ag4'
_symmetry_space_group_name_H-M 'C 1 m 1'
_symmetry_Int_Tables_number 8
_cell_length_a 9.6360
_cell_length_b 2.7759
_cell_length_c 5.3624
_cell_angle_alpha 90.00
_cell_angle_beta 96.76
_cell_angle_gamma 90.00
loop_
_symmetry_equiv_pos_as_xyz
'x,y,z'
'x,-y,z'
'x+1/2,y+1/2,z'
'x+1/2,-y+1/2,z'
loop_
_atom_site_label
_atom_site_type_symbol
_atom_site_fract_x
_atom_site_fract_y
_atom_site_fract_z
Zr1 Zr 0.0000 0.0000 0.0000
Tc1 Tc 0.2544 0.5000 0.2375
Ag1 Ag 0.2469 0.0000 0.7237
Ag2 Ag 0.4982 0.0000 0.4937

=====

Entry 5:
# PBE-GGA ZrTc2Ag, relaxed
# - Total DFT energy (no corrections): -63.1 eV for the cell shown
# - Calculated volume: 17.10 A^3/atom
# - Calculated formation energy: 0.15 eV/atom
# - Energy above the most stable polymorph in this dataset: 85 meV per atom
data_ZrTc2Ag
_chemical_formula_sum 'Zr2 Tc4 Ag2'
_symmetry_space_group_name_H-M 'I m m 2'
_symmetry_Int_Tables_number 44
_cell_length_a 3.7882
_cell_length_b 4.4232
_cell_length_c 8.1634
_cell_angle_alpha 90.00
_cell_angle_beta 90.00
_cell_angle_gamma 90.00
loop_
_symmetry_equiv_pos_as_xyz
'x,y,z'
'-x,-y,z'
'-x,y,z'
'x,-y,z'
'x+1/2,y+1/2,z+1/2'
'-x+1/2,-y+1/2,z+1/2'
'-x+1/2,y+1/2,z+1/2'
'x+1/2,-y+1/2,z+1/2'
loop_
_atom_site_label
_atom_site_type_symbol
_atom_site_fract_x
_atom_site_fract_y
_atom_site_fract_z
Zr1 Zr 0.0000 0.0000 0.0000
Tc1 Tc 0.0000 0.0000 0.5352
Tc2 Tc 0.0000 0.5000 0.2438
Ag1 Ag 0.0000 0.5000 0.7694

=====

Entry 6:
# PBE-GGA ZrTcAg, relaxed
# - Total DFT energy (no corrections): -86.0 eV for the cell shown
# - Calculated volume: 18.44 A^3/atom
# - Calculated formation energy: 0.09 eV/atom
# - Energy above the most stable polymorph in this dataset: 66 meV per atom
data_ZrTcAg
_chemical_formula_sum 'Zr4 Tc4 Ag4'
_symmetry_space_group_name_H-M 'C 1 m 1'
_symmetry_Int_Tables_number 8
_cell_length_a 10.6633
_cell_length_b 3.1521
_cell_length_c 7.7753
_cell_angle_alpha 90.00
_cell_angle_beta 122.15
_cell_angle_gamma 90.00
loop_
_symmetry_equiv_pos_as_xyz
'x,y,z'
'x,-y,z'
'x+1/2,y+1/2,z'
'x+1/2,-y+1/2,z'
loop_
_atom_site_label
_atom_site_type_symbol
_atom_site_fract_x
_atom_site_fract_y
_atom_site_fract_z
Zr1 Zr 0.0000 0.0000 0.0000
Zr2 Zr 0.1504 0.0000 0.6125
Tc1 Tc 0.2412 0.5000 0.9852
Tc2 Tc 0.4218 0.0000 0.2560
Ag1 Ag 0.2269 0.5000 0.3442
Ag2 Ag 0.4397 0.0000 0.6497

=====

Entry 7:
# PBE-GGA ZrTcAg, relaxed
# - Total DFT energy (no corrections): -85.9 eV for the cell shown
# - Calculated volume: 18.21 A^3/atom
# - Calculated formation energy: 0.10 eV/atom
# - Energy above the most stable polymorph in this dataset: 75 meV per atom
data_ZrTcAg
_chemical_formula_sum 'Zr4 Tc4 Ag4'
_symmetry_space_group_name_H-M 'A m a 2'
_symmetry_Int_Tables_number 40
_cell_length_a 4.6146
_cell_length_b 5.1548
_cell_length_c 9.1853
_cell_angle_alpha 90.00
_cell_angle_beta 90.00
_cell_angle_gamma 90.00
loop_
_symmetry_equiv_pos_as_xyz
'x,y,z'
'-x,-y,z'
'-x+1/2,y,z'
'x+1/2,-y,z'
'x,y+1/2,z+1/2'
'-x,-y+1/2,z+1/2'
'-x+1/2,y+1/2,z+1/2'
'x+1/2,-y+1/2,z+1/2'
loop_
_atom_site_label
_atom_site_type_symbol
_atom_site_fract_x
_atom_site_fract_y
_atom_site_fract_z
Zr1 Zr 0.2500 0.2021 0.0000
Tc1 Tc 0.2500 0.1379 0.6627
Ag1 Ag 0.2500 0.1595 0.3176

=====

Entry 8:
# PBE-GGA ZrTc2Ag, relaxed
# - Total DFT energy (no corrections): -31.6 eV for the cell shown
# - Calculated volume: 17.28 A^3/atom
# - Calculated formation energy: 0.12 eV/atom
# - Energy above the most stable polymorph in this dataset: 62 meV per atom
data_ZrTc2Ag
_chemical_formula_sum 'Zr1 Tc2 Ag1'
_symmetry_space_group_name_H-M 'P 1 m 1'
_symmetry_Int_Tables_number 6
_cell_length_a 2.9450
_cell_length_b 4.0217
_cell_length_c 5.8619
_cell_angle_alpha 90.00
_cell_angle_beta 95.30
_cell_angle_gamma 90.00
loop_
_symmetry_equiv_pos_as_xyz
'x,y,z'
'x,-y,z'
loop_
_atom_site_label
_atom_site_type_symbol
_atom_site_fract_x
_atom_site_fract_y
_atom_site_fract_z
Zr1 Zr 0.0000 0.0000 0.0000
Tc1 Tc 0.0793 0.0000 0.5539
Tc2 Tc 0.5068 0.5000 0.7363
Ag1 Ag 0.5438 0.5000 0.2707

=====

Entry 9:
# PBE-GGA ZrTcAg2, relaxed
# - Total DFT energy (no corrections): -48.3 eV for the cell shown
# - Calculated volume: 17.78 A^3/atom
# - Calculated formation energy: 0.11 eV/atom
# - Energy above the most stable polymorph in this dataset: 9 meV per atom
data_ZrTcAg2
_chemical_formula_sum 'Zr2 Tc2 Ag4'
_symmetry_space_group_name_H-M 'I m m m'
_symmetry_Int_Tables_number 71
_symmetry_space_group_name_Hall '-I 2 2'
_cell_length_a 3.3984
_cell_length_b 4.2997
_cell_length_c 9.7339
_cell_angle_alpha 90.00
_cell_angle_beta 90.00
_cell_angle_gamma 90.00
loop_
_atom_site_label
_atom_site_type_symbol
_atom_site_fract_x
_atom_site_fract_y
_atom_site_fract_z
Zr1 Zr 0.0000 0.0000 0.0000
Tc1 Tc 0.0000 0.0000 0.5000
Ag1 Ag 0.0000 0.5000 0.2420

=====

Entry 10:
# PBE-GGA ZrTcAg, relaxed
# - Total DFT energy (no corrections): -43.4 eV for the cell shown
# - Calculated volume: 17.98 A^3/atom
# - Calculated formation energy: 0.03 eV/atom
# - Energy above the most stable polymorph in this dataset: 0 meV per atom
data_ZrTcAg
_chemical_formula_sum 'Zr2 Tc2 Ag2'
_symmetry_space_group_name_H-M 'P 3 m 1'
_symmetry_Int_Tables_number 156
_cell_length_a 4.6319
_cell_length_b 4.6319
_cell_length_c 5.8050
_cell_angle_alpha 90.00
_cell_angle_beta 90.00
_cell_angle_gamma 120.00
loop_
_symmetry_equiv_pos_as_xyz
'x,y,z'
'-y,x-y,z'
'-x+y,-x,z'
'-y,-x,z'
'-x+y,y,z'
'x,x-y,z'
loop_
_atom_site_label
_atom_site_type_symbol
_atom_site_fract_x
_atom_site_fract_y
_atom_site_fract_z
Zr1 Zr 0.0000 0.0000 0.0000
Zr2 Zr 0.3333 0.6667 0.3521
Tc1 Tc 0.3333 0.6667 0.8986
Tc2 Tc 0.6667 0.3333 0.1578
Ag1 Ag 0.0000 0.0000 0.5026
Ag2 Ag 0.6667 0.3333 0.6697

=====

Entry 11:
# PBE-GGA Zr3TcAg, relaxed
# - Total DFT energy (no corrections): -36.3 eV for the cell shown
# - Calculated volume: 25.35 A^3/atom
# - Calculated formation energy: 0.51 eV/atom
# - Energy above the most stable polymorph in this dataset: 0 meV per atom
data_Zr3TcAg
_chemical_formula_sum 'Zr3 Tc1 Ag1'
_symmetry_space_group_name_H-M 'P m -3 m'
_symmetry_Int_Tables_number 221
_symmetry_space_group_name_Hall '-P 4 2 3'
_cell_length_a 5.0231
_cell_length_b 5.0231
_cell_length_c 5.0231
_cell_angle_alpha 90.00
_cell_angle_beta 90.00
_cell_angle_gamma 90.00
loop_
_atom_site_label
_atom_site_type_symbol
_atom_site_fract_x
_atom_site_fract_y
_atom_site_fract_z
Zr1 Zr 0.0000 0.0000 0.5000
Tc1 Tc 0.0000 0.0000 0.0000
Ag1 Ag 0.5000 0.5000 0.5000

=====

Entry 12:
# PBE-GGA ZrTc2Ag2, relaxed
# - Total DFT energy (no corrections): -66.2 eV for the cell shown
# - Calculated volume: 18.98 A^3/atom
# - Calculated formation energy: 0.37 eV/atom
# - Energy above the most stable polymorph in this dataset: 0 meV per atom
data_ZrTc2Ag2
_chemical_formula_sum 'Zr2 Tc4 Ag4'
_symmetry_space_group_name_H-M 'I 4/m m m'
_symmetry_Int_Tables_number 139
_symmetry_space_group_name_Hall '-I 4 2'
_cell_length_a 3.9100
_cell_length_b 3.9100
_cell_length_c 12.4167
_cell_angle_alpha 90.00
_cell_angle_beta 90.00
_cell_angle_gamma 90.00
loop_
_atom_site_label
_atom_site_type_symbol
_atom_site_fract_x
_atom_site_fract_y
_atom_site_fract_z
Zr1 Zr 0.0000 0.0000 0.0000
Tc1 Tc 0.0000 0.0000 0.4123
Ag1 Ag 0.0000 0.5000 0.2500

=====

Q: Look up the total DFT energy (no corrections) of the eighth one.
A: -31.6 eV for the cell shown